[1]
! PBE-GGA ZrP2H, relaxed; values from VASP
! raw total energy	-5.9060	eV/atom
! DOS(E_F)	0.31	states/eV per atom
! polymorph energy (0 for the lowest one)	0.000	eV per atom
&SYSTEM
  ibrav = 0, nat = 8, ntyp = 3
/
ATOMIC_SPECIES
P 30.97 P.upf
Zr 91.22 Zr.upf
H 1.01 H.upf
CELL_PARAMETERS angstrom
5.921 0.000 0.000
0.000 5.921 0.000
2.960 2.960 3.060
ATOMIC_POSITIONS crystal
P 0.520 0.125 0.250
P 0.230 0.625 0.250
P 0.375 0.480 0.750
P 0.875 0.770 0.750
Zr 0.000 0.000 0.000
Zr 0.750 0.250 0.500
H 0.500 0.500 0.000
H 0.250 0.750 0.500

=====

[2]
! PBE-GGA ZrAs2Cl, relaxed; values from VASP
! raw total energy	-5.5614	eV/atom
! uncorrected formation energy	-0.638	eV per atom
! DOS(E_F)	0.32	states/eV per atom
! polymorph energy (0 for the lowest one)	0.095	eV per atom
&SYSTEM
  ibrav = 0, nat = 4, ntyp = 3
/
ATOMIC_SPECIES
As 74.92 As.upf
Zr 91.22 Zr.upf
Cl 35.45 Cl.upf
CELL_PARAMETERS angstrom
0.000 1.543 -2.967
-3.165 0.960 0.500
2.641 6.854 3.564
ATOMIC_POSITIONS crystal
As 0.000 0.000 0.976
As 0.500 0.500 0.146
Zr 0.500 0.500 0.789
Cl 0.000 0.000 0.589

=====

[3]
! PBE-GGA HfSiAsBr2, relaxed; values from VASP
! raw total energy	-4.1211	eV/atom
! uncorrected formation energy	0.553	eV per atom
! DOS(E_F)	0.69	states/eV per atom
! polymorph energy (0 for the lowest one)	0.411	eV per atom
&SYSTEM
  ibrav = 0, nat = 5, ntyp = 4
/
ATOMIC_SPECIES
As 74.92 As.upf
Hf 178.49 Hf.upf
Si 28.09 Si.upf
Br 79.90 Br.upf
CELL_PARAMETERS angstrom
-0.265 2.164 -4.368
-4.787 -0.940 -0.176
-0.958 4.457 2.267
ATOMIC_POSITIONS crystal
As 0.000 0.000 0.500
Hf 0.500 0.500 0.500
Si 0.000 0.000 0.000
Br 0.000 0.500 0.000
Br 0.500 0.000 0.000

=====

[4]
! PBE-GGA BeRhBr2, relaxed; values from VASP
! raw total energy	-3.2351	eV/atom
! uncorrected formation energy	0.371	eV per atom
! DOS(E_F)	1.05	states/eV per atom
! polymorph energy (0 for the lowest one)	0.775	eV per atom
&SYSTEM
  ibrav = 0, nat = 4, ntyp = 3
/
ATOMIC_SPECIES
Be 9.01 Be.upf
Rh 102.91 Rh.upf
Br 79.90 Br.upf
CELL_PARAMETERS angstrom
-2.561 4.560 -0.092
-2.207 -0.930 4.650
4.512 1.126 -2.394
ATOMIC_POSITIONS crystal
Be 0.250 0.750 0.500
Rh 0.750 0.250 0.500
Br 0.034 0.034 0.000
Br 0.466 0.466 0.000

=====

> What is the formula in the first record?

ZrP2H

=====

> Which value of polymorph energy (0 for the lowest one) does entry 1 give?

0.000 eV per atom

=====

> Among the records above, which one has the highest DOS(E_F)?

BeRhBr2